Here is a relaxed Pr2NdErPt2 crystal from Alexandria. Energies are from GGA-PBE.

Computed properties:
**M_tot**: 0.0 μB/f.u.
**Space group**: Ibam
**ΔE_f**: -0.80 eV/atom

a b c (Å): 8.676 8.676 8.676
angles (deg): 133.00 68.60 133.07
Positions (direct):
Pr  0.192  0.205  0.398
Pr  0.308  0.705  0.013
Pr  0.692  0.295  0.987
Pr  0.808  0.795  0.602
Nd  0.250  0.750  0.500
Nd  0.750  0.250  0.500
Er  0.250  0.250  0.000
Er  0.750  0.750  0.000
Pt  0.110  0.772  0.881
Pt  0.390  0.272  0.662
Pt  0.610  0.728  0.338
Pt  0.890  0.228  0.119

***

Here is a relaxed CeThU2N4 crystal from Alexandria. Energies are from GGA-PBE.

Computed properties:
**Uncorrected formation energy**: -1392 meV per atom
**M_tot**: 1.5 μB/f.u.
**Space group**: I-4m2

a b c (Å): 5.004 5.004 9.869
angles (deg): 90.00 90.00 90.00
Positions (direct):
Ce  0.000  0.000  0.000
Ce  0.500  0.500  0.500
Th  0.000  0.500  0.750
Th  0.500  0.000  0.250
U  0.000  0.000  0.500
U  0.000  0.500  0.250
U  0.500  0.000  0.750
U  0.500  0.500  0.000
N  0.000  0.000  0.261
N  0.000  0.000  0.739
N  0.000  0.500  0.013
N  0.000  0.500  0.487
N  0.500  0.000  0.513
N  0.500  0.000  0.987
N  0.500  0.500  0.239
N  0.500  0.500  0.761

***

Here is a relaxed KRb2SeO4 crystal from Alexandria. Energies are from GGA-PBE.

Computed properties:
**Uncorrected formation energy**: -1215 meV per atom
**M_tot**: 0.8 μB/f.u.
**Space group**: I-4

a b c (Å): 6.818 6.818 7.678
angles (deg): 90.00 90.00 90.00
Positions (direct):
K  0.000  0.000  0.000
K  0.500  0.500  0.500
Rb  0.000  0.000  0.500
Rb  0.000  0.500  0.750
Rb  0.500  0.000  0.250
Rb  0.500  0.500  0.000
Se  0.000  0.500  0.250
Se  0.500  0.000  0.750
O  0.145  0.664  0.117
O  0.164  0.355  0.383
O  0.336  0.145  0.883
O  0.355  0.836  0.617
O  0.645  0.164  0.617
O  0.664  0.855  0.883
O  0.836  0.645  0.383
O  0.855  0.336  0.117

***

Here is a relaxed Nd5SnPb2 crystal from Alexandria. Energies are from GGA-PBE.

Computed properties:
**M_tot**: 1.7 μB/f.u.
**Space group**: I4/mcm
**ΔE_f**: -0.53 eV/atom

a b c (Å): 9.318 9.318 9.318
angles (deg): 125.81 125.81 80.21
Positions (direct):
Nd  0.000  0.000  0.000
Nd  0.010  0.510  0.823
Nd  0.187  0.010  0.500
Nd  0.313  0.813  0.823
Nd  0.490  0.313  0.500
Nd  0.500  0.500  0.000
Nd  0.510  0.687  0.500
Nd  0.687  0.187  0.177
Nd  0.813  0.990  0.500
Nd  0.990  0.490  0.177
Sn  0.250  0.250  0.000
Sn  0.750  0.750  0.000
Pb  0.139  0.361  0.500
Pb  0.361  0.861  0.221
Pb  0.639  0.139  0.779
Pb  0.861  0.639  0.500

***

Here is a relaxed Tb2Nd2Dy3 crystal from Alexandria. Energies are from GGA-PBE.

Computed properties:
**M_tot**: 0.0 μB/f.u.
**Space group**: C2/m
**ΔE_f**: 0.13 eV/atom

a b c (Å): 16.754 3.512 8.767
angles (deg): 90.00 116.14 90.00
Positions (direct):
Tb  0.139  0.000  0.407
Tb  0.361  0.500  0.593
Tb  0.639  0.500  0.407
Tb  0.861  0.000  0.593
Nd  0.079  0.500  0.702
Nd  0.421  0.000  0.298
Nd  0.579  0.000  0.702
Nd  0.921  0.500  0.298
Dy  0.000  0.500  0.000
Dy  0.221  0.500  0.147
Dy  0.279  0.000  0.853
Dy  0.500  0.000  0.000
Dy  0.721  0.000  0.147
Dy  0.779  0.500  0.853

***

Here is a relaxed SiHg2Sb crystal from Alexandria. Energies are from GGA-PBE.

Computed properties:
**Uncorrected formation energy**: 167 meV per atom
**M_tot**: 0.0 μB/f.u.
**Space group**: Cm

a b c (Å): 6.949 4.044 7.774
angles (deg): 90.00 104.63 90.00
Positions (direct):
Si  0.000  0.000  0.000
Si  0.500  0.500  0.000
Hg  0.010  0.500  0.515
Hg  0.252  0.500  0.239
Hg  0.510  0.000  0.515
Hg  0.752  0.000  0.239
Sb  0.286  0.000  0.824
Sb  0.786  0.500  0.824

***

Here is a relaxed TlSiF6 crystal from Alexandria. Energies are from GGA-PBE.

Computed properties:
**Uncorrected formation energy**: -2563 meV per atom
**M_tot**: 0.6 μB/f.u.
**Space group**: C2/m

a b c (Å): 7.851 6.167 5.201
angles (deg): 90.00 116.77 90.00
Positions (direct):
Tl  0.000  0.000  0.000
Tl  0.500  0.500  0.000
Si  0.000  0.500  0.500
Si  0.500  0.000  0.500
F  0.076  0.305  0.765
F  0.076  0.695  0.765
F  0.223  0.500  0.516
F  0.277  0.000  0.484
F  0.424  0.195  0.235
F  0.424  0.805  0.235
F  0.576  0.195  0.765
F  0.576  0.805  0.765
F  0.723  0.000  0.516
F  0.777  0.500  0.484
F  0.924  0.305  0.235
F  0.924  0.695  0.235

***

Here is a relaxed TcPPdI2 crystal from Alexandria. Energies are from GGA-PBE.

Computed properties:
**Uncorrected formation energy**: 1050 meV per atom
**M_tot**: 4.7 μB/f.u.
**Space group**: P4/mmm

a b c (Å): 5.677 5.677 4.437
angles (deg): 90.00 90.00 90.00
Positions (direct):
Tc  0.000  0.000  0.000
P  0.500  0.500  0.500
Pd  0.500  0.500  0.000
I  0.000  0.500  0.500
I  0.500  0.000  0.500

***

Here is a relaxed CuHgOF2 crystal from Alexandria. Energies are from GGA-PBE.

Computed properties:
**Uncorrected formation energy**: -846 meV per atom
**M_tot**: 0.0 μB/f.u.
**Space group**: P4/mmm

a b c (Å): 3.918 3.918 4.067
angles (deg): 90.00 90.00 90.00
Positions (direct):
Cu  0.000  0.000  0.000
Hg  0.500  0.500  0.500
O  0.000  0.000  0.500
F  0.000  0.500  0.000
F  0.500  0.000  0.000

***

Here is a relaxed Ce2CdS crystal from Alexandria. Energies are from GGA-PBE.

Computed properties:
**Uncorrected formation energy**: -654 meV per atom
**M_tot**: 2.8 μB/f.u.
**Space group**: R-3m

a b c (Å): 3.699 3.699 30.482
angles (deg): 90.00 90.00 120.00
Positions (direct):
Ce  0.000  0.000  0.110
Ce  0.000  0.000  0.890
Ce  0.333  0.667  0.557
Ce  0.333  0.667  0.777
Ce  0.667  0.333  0.223
Ce  0.667  0.333  0.443
Cd  0.000  0.000  0.000
Cd  0.333  0.667  0.667
Cd  0.667  0.333  0.333
S  0.000  0.000  0.500
S  0.333  0.667  0.167
S  0.667  0.333  0.833

***

Here is a relaxed Sm3Ga5Rh6 crystal from Alexandria. Energies are from GGA-PBE.

Computed properties:
**M_tot**: 0.0 μB/f.u.
**Space group**: Pmmn
**ΔE_f**: -0.81 eV/atom

a b c (Å): 4.279 13.014 8.982
angles (deg): 90.00 90.00 90.00
Positions (direct):
Sm  0.250  0.053  0.249
Sm  0.250  0.447  0.249
Sm  0.250  0.750  0.226
Sm  0.750  0.250  0.774
Sm  0.750  0.553  0.751
Sm  0.750  0.947  0.751
Ga  0.250  0.098  0.877
Ga  0.250  0.402  0.877
Ga  0.250  0.633  0.520
Ga  0.250  0.750  0.797
Ga  0.250  0.867  0.520
Ga  0.750  0.133  0.480
Ga  0.750  0.250  0.203
Ga  0.750  0.367  0.480
Ga  0.750  0.598  0.123
Ga  0.750  0.902  0.123
Rh  0.250  0.060  0.596
Rh  0.250  0.250  0.051
Rh  0.250  0.250  0.417
Rh  0.250  0.440  0.596
Rh  0.250  0.587  0.975
Rh  0.250  0.913  0.975
Rh  0.750  0.087  0.025
Rh  0.750  0.413  0.025
Rh  0.750  0.560  0.404
Rh  0.750  0.750  0.583
Rh  0.750  0.750  0.949
Rh  0.750  0.940  0.404

***

Here is a relaxed FeCu2W crystal from Alexandria. Energies are from GGA-PBE.

Computed properties:
**M_tot**: 2.2 μB/f.u.
**Space group**: R-3m
**ΔE_f**: 0.34 eV/atom

a b c (Å): 2.652 2.652 26.281
angles (deg): 90.00 90.00 120.00
Positions (direct):
Fe  0.000  0.000  0.000
Fe  0.333  0.667  0.667
Fe  0.667  0.333  0.333
Cu  0.000  0.000  0.253
Cu  0.000  0.000  0.747
Cu  0.333  0.667  0.413
Cu  0.333  0.667  0.920
Cu  0.667  0.333  0.080
Cu  0.667  0.333  0.587
W  0.000  0.000  0.500
W  0.333  0.667  0.167
W  0.667  0.333  0.833

***

Here is a relaxed MgScUO6 crystal from Alexandria. Energies are from GGA-PBE.

Computed properties:
**Uncorrected formation energy**: -2776 meV per atom
**M_tot**: 0.9 μB/f.u.
**Space group**: P-31c

a b c (Å): 5.509 5.509 8.864
angles (deg): 90.00 90.00 120.00
Positions (direct):
Mg  0.000  0.000  0.000
Mg  0.000  0.000  0.500
Sc  0.333  0.667  0.250
Sc  0.667  0.333  0.750
U  0.333  0.667  0.750
U  0.667  0.333  0.250
O  0.005  0.343  0.632
O  0.005  0.662  0.868
O  0.338  0.343  0.868
O  0.338  0.995  0.632
O  0.343  0.005  0.132
O  0.343  0.338  0.368
O  0.657  0.662  0.632
O  0.657  0.995  0.868
O  0.662  0.005  0.368
O  0.662  0.657  0.132
O  0.995  0.338  0.132
O  0.995  0.657  0.368

***

Here is a relaxed TlAg2Os crystal from Alexandria. Energies are from GGA-PBE.

Computed properties:
**M_tot**: 0.0 μB/f.u.
**Space group**: Pmm2
**ΔE_f**: 0.71 eV/atom

a b c (Å): 2.850 4.290 5.986
angles (deg): 90.00 90.00 90.00
Positions (direct):
Tl  0.000  0.000  0.000
Ag  0.000  0.000  0.517
Ag  0.500  0.500  0.288
Os  0.500  0.500  0.768